The following is a DFT calculation (GGA-PBE) of a geometry-optimized Ca2TlHg5 structure.

Unit cell a=6.726 b=13.419 c=4.660 alpha=90.00 beta=90.00 gamma=90.00
Space group Pbam (No. 55)
One atom of each set of equivalent atoms:
Ca (0.236, 0.129, 0.000) x4
Tl (0.000, 0.500, 0.500) x2
Hg (0.000, 0.000, 0.500) x2
Hg (0.015, 0.751, 0.500) x4
Hg (0.244, 0.376, 0.000) x4

Computed properties:
Energy of formation, eV/f.u.: -2.8

***

The following is a DFT calculation (GGA-PBE) of a geometry-optimized Nd5MgIn5 structure.

Unit cell a=17.335 b=5.807 c=7.075 alpha=90.00 beta=110.36 gamma=90.00
Space group C2/m (No. 12)
One atom of each set of equivalent atoms:
Nd (0.000, 0.000, 0.000) x2
Nd (0.138, 0.500, 0.177) x4
Nd (0.196, 0.500, 0.722) x4
Mg (0.000, 0.000, 0.500) x2
In (0.000, 0.500, 0.500) x2
In (0.157, 0.000, 0.874) x4
In (0.158, 0.000, 0.445) x4

Computed properties:
Energy of formation, eV/f.u.: -2.4

***

The following is a DFT calculation (GGA-PBE) of a geometry-optimized Li2TaTc structure.

Unit cell a=3.373 b=3.373 c=5.014 alpha=90.00 beta=90.00 gamma=90.00
Space group P4/mmm (No. 123)
One atom of each set of equivalent atoms:
Li (0.000, 0.000, 0.226) x2
Ta (0.500, 0.500, 0.500) x1
Tc (0.500, 0.500, 0.000) x1

Computed properties:
Polymorph energy (0 for the lowest one), kJ per mole of atoms: 38.0
Energy of formation, eV/f.u.: 2.1

***

The following is a DFT calculation (GGA-PBE) of a geometry-optimized Si2Te2Se structure.

Unit cell a=4.680 b=4.680 c=12.090 alpha=90.00 beta=90.00 gamma=90.00
Space group I4/mmm (No. 139)
One atom of each set of equivalent atoms:
Si (0.000, 0.500, 0.250) x4
Te (0.000, 0.000, 0.138) x4
Se (0.000, 0.000, 0.500) x2

Computed properties:
Polymorph energy (0 for the lowest one), kJ per mole of atoms: 23.2
Uncorrected formation energy, eV per formula unit: 2.4

***

The following is a DFT calculation (GGA-PBE) of a geometry-optimized Tb4Dy3Ho4 structure.

Unit cell a=3.519 b=11.144 c=18.124 alpha=90.00 beta=90.00 gamma=90.00
Space group Immm (No. 71)
One atom of each set of equivalent atoms:
Tb (0.000, 0.000, 0.220) x4
Tb (0.000, 0.208, 0.500) x4
Dy (0.000, 0.000, 0.000) x2
Dy (0.000, 0.500, 0.108) x4
Ho (0.000, 0.258, 0.330) x8

Computed properties:
Polymorph energy (0 for the lowest one), kJ per mole of atoms: 12.0
Energy of formation, eV/f.u.: 2.0

***

The following is a DFT calculation (GGA-PBE) of a geometry-optimized UNiIrRu structure.

Unit cell a=3.834 b=3.952 c=4.108 alpha=90.00 beta=90.00 gamma=90.00
Space group Pmmm (No. 47)
One atom of each set of equivalent atoms:
U (0.000, 0.000, 0.000) x1
Ni (0.000, 0.500, 0.500) x1
Ir (0.500, 0.000, 0.500) x1
Ru (0.500, 0.500, 0.000) x1

Computed properties:
Polymorph energy (0 for the lowest one), kJ per mole of atoms: 0.0
Energy of formation, eV/f.u.: -1.9